# Rb2HfCdTe4 | the Alexandria database | PBE-GGA | relaxed
# DOS at the Fermi energy = 0.00 states/eV per cell
# Total moment = 0.0 μB/f.u.
# ΔE_f (raw) = -0.852 eV/atom
data_Rb2HfCdTe4
_space_group_name_H-M_alt 'F d d d'
_space_group_IT_number 70
_cell_length_a 6.685
_cell_length_b 15.335
_cell_length_c 26.837
_cell_angle_alpha 90.00
_cell_angle_beta 90.00
_cell_angle_gamma 90.00
loop_
_space_group_symop_operation_xyz
'x,y,z'
'-x,-y,-z'
'-x+1/4,-y+1/4,z'
'x+1/4,y+1/4,-z'
'x,-y+1/4,-z+1/4'
'-x,y+1/4,z+1/4'
'-x+1/4,y,-z+1/4'
'x+1/4,-y,z+1/4'
'x,y+1/2,z+1/2'
'-x,-y+1/2,-z+1/2'
'-x+1/4,-y+3/4,z+1/2'
'x+1/4,y+3/4,-z+1/2'
'x,-y+3/4,-z+3/4'
'-x,y+3/4,z+3/4'
'-x+1/4,y+1/2,-z+3/4'
'x+1/4,-y+1/2,z+3/4'
'x+1/2,y,z+1/2'
'-x+1/2,-y,-z+1/2'
'-x+3/4,-y+1/4,z+1/2'
'x+3/4,y+1/4,-z+1/2'
'x+1/2,-y+1/4,-z+3/4'
'-x+1/2,y+1/4,z+3/4'
'-x+3/4,y,-z+3/4'
'x+3/4,-y,z+3/4'
'x+1/2,y+1/2,z'
'-x+1/2,-y+1/2,-z'
'-x+3/4,-y+3/4,z'
'x+3/4,y+3/4,-z'
'x+1/2,-y+3/4,-z+1/4'
'-x+1/2,y+3/4,z+1/4'
'-x+3/4,y+1/2,-z+1/4'
'x+3/4,-y+1/2,z+1/4'
loop_
_atom_site_label
_atom_site_type_symbol
_atom_site_fract_x
_atom_site_fract_y
_atom_site_fract_z
Rb1 Rb 0.125 0.125 0.307
Hf1 Hf 0.125 0.125 0.125
Cd1 Cd 0.125 0.125 0.625
Te1 Te 0.109 0.269 0.433

# RbHfZn2Cd | the Alexandria database | PBE-GGA | relaxed
# DOS at the Fermi energy = 4.82 states/eV per cell
# Energy of formation = 1.67 eV/atom
# Total moment = 2.8 μB/f.u.
data_RbHfZn2Cd
_space_group_name_H-M_alt 'P 4/m m m'
_space_group_IT_number 123
_space_group_name_Hall '-P 4 2'
_cell_length_a 6.081
_cell_length_b 6.081
_cell_length_c 6.567
_cell_angle_alpha 90.00
_cell_angle_beta 90.00
_cell_angle_gamma 90.00
loop_
_atom_site_label
_atom_site_type_symbol
_atom_site_fract_x
_atom_site_fract_y
_atom_site_fract_z
Rb1 Rb 0.000 0.000 0.000
Hf1 Hf 0.000 0.000 0.500
Zn1 Zn 0.000 0.500 0.000
Cd1 Cd 0.500 0.500 0.500

# Hf2CdRe | the Alexandria database | PBE-GGA | relaxed
# DOS at the Fermi energy = 16.12 states/eV per cell
# Energy of formation = 0.81 eV/atom
# Total moment = 0.6 μB/f.u.
data_Hf2CdRe
_space_group_name_H-M_alt 'I -4 2 d'
_space_group_IT_number 122
_space_group_name_Hall 'I -4 2bw'
_cell_length_a 4.173
_cell_length_b 4.173
_cell_length_c 19.487
_cell_angle_alpha 90.00
_cell_angle_beta 90.00
_cell_angle_gamma 90.00
loop_
_atom_site_label
_atom_site_type_symbol
_atom_site_fract_x
_atom_site_fract_y
_atom_site_fract_z
Hf1 Hf 0.236 0.250 0.125
Cd1 Cd 0.000 0.000 0.500
Re1 Re 0.000 0.000 0.000

# HfCdRe3 | the Alexandria database | PBE-GGA | relaxed
# DOS at the Fermi energy = 4.28 states/eV per cell
# Energy of formation = 2.37 eV/atom
# Total moment = 2.6 μB/f.u.
data_HfCdRe3
_space_group_name_H-M_alt 'P m -3 m'
_space_group_IT_number 221
_space_group_name_Hall '-P 4 2 3'
_cell_length_a 4.818
_cell_length_b 4.818
_cell_length_c 4.818
_cell_angle_alpha 90.00
_cell_angle_beta 90.00
_cell_angle_gamma 90.00
loop_
_atom_site_label
_atom_site_type_symbol
_atom_site_fract_x
_atom_site_fract_y
_atom_site_fract_z
Hf1 Hf 0.000 0.000 0.000
Cd1 Cd 0.500 0.500 0.500
Re1 Re 0.000 0.000 0.500

# HfCd2Re | the Alexandria database | PBE-GGA | relaxed
# DOS at the Fermi energy = 12.89 states/eV per cell
# Energy of formation = 0.52 eV/atom
# Total moment = 0.0 μB/f.u.
data_HfCd2Re
_space_group_name_H-M_alt 'F m -3 m'
_space_group_IT_number 225
_space_group_name_Hall '-F 4 2 3'
_cell_length_a 6.694
_cell_length_b 6.694
_cell_length_c 6.694
_cell_angle_alpha 90.00
_cell_angle_beta 90.00
_cell_angle_gamma 90.00
loop_
_atom_site_label
_atom_site_type_symbol
_atom_site_fract_x
_atom_site_fract_y
_atom_site_fract_z
Hf1 Hf 0.000 0.000 0.000
Cd1 Cd 0.250 0.250 0.250
Re1 Re 0.000 0.000 0.500

# HfCd2Re2 | the Alexandria database | PBE-GGA | relaxed
# DOS at the Fermi energy = 8.66 states/eV per cell
# Energy of formation = 0.63 eV/atom
# Total moment = 0.0 μB/f.u.
data_HfCd2Re2
_space_group_name_H-M_alt 'I 4/m m m'
_space_group_IT_number 139
_space_group_name_Hall '-I 4 2'
_cell_length_a 3.811
_cell_length_b 3.811
_cell_length_c 14.014
_cell_angle_alpha 90.00
_cell_angle_beta 90.00
_cell_angle_gamma 90.00
loop_
_atom_site_label
_atom_site_type_symbol
_atom_site_fract_x
_atom_site_fract_y
_atom_site_fract_z
Hf1 Hf 0.000 0.000 0.000
Cd1 Cd 0.000 0.500 0.250
Re1 Re 0.000 0.000 0.418

# Hf2CdRe | the Alexandria database | PBE-GGA | relaxed
# DOS at the Fermi energy = 2.89 states/eV per cell
# Energy of formation = -0.25 eV/atom
# Total moment = 0.0 μB/f.u.
data_Hf2CdRe
_space_group_name_H-M_alt 'P 4/m m m'
_space_group_IT_number 123
_space_group_name_Hall '-P 4 2'
_cell_length_a 3.328
_cell_length_b 3.328
_cell_length_c 7.115
_cell_angle_alpha 90.00
_cell_angle_beta 90.00
_cell_angle_gamma 90.00
loop_
_atom_site_label
_atom_site_type_symbol
_atom_site_fract_x
_atom_site_fract_y
_atom_site_fract_z
Hf1 Hf 0.000 0.000 0.219
Cd1 Cd 0.500 0.500 0.500
Re1 Re 0.500 0.500 0.000

# Hf2CdRe | the Alexandria database | PBE-GGA | relaxed
# DOS at the Fermi energy = 3.12 states/eV per cell
# Energy of formation = -0.11 eV/atom
# Total moment = 0.0 μB/f.u.
data_Hf2CdRe
_space_group_name_H-M_alt 'P 4/m m m'
_space_group_IT_number 123
_space_group_name_Hall '-P 4 2'
_cell_length_a 4.705
_cell_length_b 4.705
_cell_length_c 3.454
_cell_angle_alpha 90.00
_cell_angle_beta 90.00
_cell_angle_gamma 90.00
loop_
_atom_site_label
_atom_site_type_symbol
_atom_site_fract_x
_atom_site_fract_y
_atom_site_fract_z
Hf1 Hf 0.000 0.500 0.000
Cd1 Cd 0.000 0.000 0.500
Re1 Re 0.500 0.500 0.500

# HfCdRe2 | the Alexandria database | PBE-GGA | relaxed
# DOS at the Fermi energy = 15.97 states/eV per cell
# Energy of formation = 1.06 eV/atom
# Total moment = 0.0 μB/f.u.
data_HfCdRe2
_space_group_name_H-M_alt 'I -4 2 d'
_space_group_IT_number 122
_space_group_name_Hall 'I -4 2bw'
_cell_length_a 7.495
_cell_length_b 7.495
_cell_length_c 5.475
_cell_angle_alpha 90.00
_cell_angle_beta 90.00
_cell_angle_gamma 90.00
loop_
_atom_site_label
_atom_site_type_symbol
_atom_site_fract_x
_atom_site_fract_y
_atom_site_fract_z
Hf1 Hf 0.000 0.000 0.000
Cd1 Cd 0.000 0.000 0.500
Re1 Re 0.242 0.250 0.125

# HfCdRe3 | the Alexandria database | PBE-GGA | relaxed
# DOS at the Fermi energy = 9.08 states/eV per cell
# Energy of formation = 2.62 eV/atom
# Total moment = 0.0 μB/f.u.
data_HfCdRe3
_space_group_name_H-M_alt 'P m -3 m'
_space_group_IT_number 221
_space_group_name_Hall '-P 4 2 3'
_cell_length_a 4.762
_cell_length_b 4.762
_cell_length_c 4.762
_cell_angle_alpha 90.00
_cell_angle_beta 90.00
_cell_angle_gamma 90.00
loop_
_atom_site_label
_atom_site_type_symbol
_atom_site_fract_x
_atom_site_fract_y
_atom_site_fract_z
Hf1 Hf 0.000 0.000 0.000
Cd1 Cd 0.500 0.500 0.500
Re1 Re 0.000 0.500 0.500

# HfCd2Re | the Alexandria database | PBE-GGA | relaxed
# DOS at the Fermi energy = 13.50 states/eV per cell
# Energy of formation = 0.57 eV/atom
# Total moment = 0.0 μB/f.u.
data_HfCd2Re
_space_group_name_H-M_alt 'I -4 2 d'
_space_group_IT_number 122
_space_group_name_Hall 'I -4 2bw'
_cell_length_a 3.946
_cell_length_b 3.946
_cell_length_c 21.147
_cell_angle_alpha 90.00
_cell_angle_beta 90.00
_cell_angle_gamma 90.00
loop_
_atom_site_label
_atom_site_type_symbol
_atom_site_fract_x
_atom_site_fract_y
_atom_site_fract_z
Hf1 Hf 0.000 0.000 0.000
Cd1 Cd 0.238 0.250 0.625
Re1 Re 0.000 0.000 0.500

# HfCd3Re | the Alexandria database | PBE-GGA | relaxed
# DOS at the Fermi energy = 5.64 states/eV per cell
# Energy of formation = 1.41 eV/atom
# Total moment = 0.5 μB/f.u.
data_HfCd3Re
_space_group_name_H-M_alt 'P m -3 m'
_space_group_IT_number 221
_space_group_name_Hall '-P 4 2 3'
_cell_length_a 5.091
_cell_length_b 5.091
_cell_length_c 5.091
_cell_angle_alpha 90.00
_cell_angle_beta 90.00
_cell_angle_gamma 90.00
loop_
_atom_site_label
_atom_site_type_symbol
_atom_site_fract_x
_atom_site_fract_y
_atom_site_fract_z
Hf1 Hf 0.000 0.000 0.000
Cd1 Cd 0.000 0.500 0.500
Re1 Re 0.500 0.500 0.500

# HfCd2Re2 | the Alexandria database | PBE-GGA | relaxed
# DOS at the Fermi energy = 10.77 states/eV per cell
# Energy of formation = 0.65 eV/atom
# Total moment = 0.0 μB/f.u.
data_HfCd2Re2
_space_group_name_H-M_alt 'P 4/m b m'
_space_group_IT_number 127
_space_group_name_Hall '-P 4 2ab'
_cell_length_a 7.866
_cell_length_b 7.866
_cell_length_c 3.069
_cell_angle_alpha 90.00
_cell_angle_beta 90.00
_cell_angle_gamma 90.00
loop_
_atom_site_label
_atom_site_type_symbol
_atom_site_fract_x
_atom_site_fract_y
_atom_site_fract_z
Hf1 Hf 0.000 0.000 0.000
Cd1 Cd 0.185 0.315 0.500
Re1 Re 0.107 0.607 0.000